Here is a relaxed K2Er2CrS6 crystal from Alexandria via LeMat-Bulk. Energies are from GGA-PBE.

DFT total energy: -5.5904 eV/atom
DOS at the Fermi energy: 7.3 states/eV per cell

The structure in extended XYZ format:
```
11
Lattice="6.534 0.030 0.047 -3.203 5.694 0.047 -1.201 -2.065 7.527" Properties=species:S:1:pos:R:3 pbc="T T T"
Cr -0.601 -1.032 3.764
S -1.576 0.688 5.216
S 0.409 0.703 2.374
S 3.705 2.971 2.404
S 1.377 -1.030 5.216
S 0.752 4.690 2.404
S 1.720 2.956 5.246
K -1.527 4.719 0.047
K 4.857 1.005 0.047
Er 2.693 0.883 3.810
Er -0.564 2.777 3.810
```



Here is a relaxed K3Er2CrS6 crystal from Alexandria via LeMat-Bulk. Energies are from GGA-PBE.

DFT total energy: -5.4304 eV/atom

The structure in extended XYZ format:
```
12
Lattice="6.745 -0.002 -0.003 -3.372 5.841 -0.003 -1.128 -1.953 7.326" Properties=species:S:1:pos:R:3 pbc="T T T"
S 2.089 -0.001 1.410
S -0.085 -0.147 5.907
S 2.329 4.033 1.412
S 3.290 2.077 5.910
S 0.155 3.888 5.910
S -1.045 1.809 1.410
K -2.215 3.870 3.660
K 1.122 1.943 3.660
K 4.459 0.016 3.660
Cr 0.000 0.000 0.000
Er 0.004 3.891 -0.003
Er 3.368 1.948 -0.003
```



The records above give, respectively, E_form (uncorrected) values of -1.435 -1.530 eV/atom.